Entry from the Alexandria database: a geometry-optimized Cs2AlCrF6 structure (GGA+U).

Unit cell a=6.437 b=6.437 c=6.437 alpha=124.70 beta=124.70 gamma=82.03
Positions (direct):
Cs  0.250  0.750  0.500
Cs  0.750  0.250  0.500
Al  0.000  0.000  0.000
Cr  0.500  0.500  0.000
F  0.188  0.188  0.000
F  0.221  0.221  0.442
F  0.221  0.779  0.000
F  0.779  0.221  0.000
F  0.779  0.779  0.558
F  0.812  0.812  0.000

SG = I4/mmm (139)
Calculated total energy = -5.25 eV per atom